1.
RbCaTaO4 after structural relaxation, computed with PBE-GGA.

Lattice parameters (Å, degrees): 6.197 6.294 7.701 90.00 106.04 90.00
Element x y z (fractional)
1 Rb 0.207 0.250 0.435
2 Rb 0.793 0.750 0.565
3 Ca 0.315 0.250 0.961
4 Ca 0.685 0.750 0.039
5 Ta 0.221 0.750 0.151
6 Ta 0.779 0.250 0.849
7 O 0.013 0.750 0.926
8 O 0.034 0.750 0.304
9 O 0.423 0.522 0.170
10 O 0.423 0.978 0.170
11 O 0.577 0.022 0.830
12 O 0.577 0.478 0.830
13 O 0.966 0.250 0.696
14 O 0.987 0.250 0.074

Calculated values
Calculated volume   20.6 Å³/atom
Crystal system   monoclinic
E_form (uncorrected)   -257.0 kJ/mol of atoms
Total magnetization   0.000 μB/atom
N(E_F)   0.00 states/eV/atom

---

2.
Rb2Ca2TaO6 after structural relaxation, computed with PBE-GGA.

Lattice parameters (Å, degrees): 5.869 5.869 6.888 98.70 98.70 119.17
Element x y z (fractional)
1 Rb 0.170 0.830 0.000
2 Rb 0.830 0.170 0.000
3 Ca 0.338 0.662 0.500
4 Ca 0.662 0.338 0.500
5 Ta 0.000 0.000 0.500
6 O 0.052 0.346 0.667
7 O 0.227 0.227 0.333
8 O 0.346 0.052 0.667
9 O 0.654 0.948 0.333
10 O 0.773 0.773 0.667
11 O 0.948 0.654 0.333

Calculated values
Calculated volume   18.0 Å³/atom
Crystal system   monoclinic
E_form (uncorrected)   -231.3 kJ/mol of atoms
Total magnetization   0.101 μB/atom
N(E_F)   0.85 states/eV/atom

---

The lowest calculated volume belongs to which entry? Rb2Ca2TaO6